No. 1
A relaxed Ti2CuBSe crystal, computed with PBE-GGA.

As for the total energy: -23.5 eV per cell. The calculation puts the raw formation energy at 1308 meV/atom.

The structure belongs to space group P4/mmm (No. 123); the cell edges are 4.686, 4.686 and 4.306 Å and the angles 90.00°, 90.00° and 90.00°. Symmetry generates all atoms from Ti at (0.000, 0.500, 0.000), Cu at (0.000, 0.000, 0.000), B at (0.500, 0.500, 0.500) and Se at (0.000, 0.000, 0.500).

No. 2
A relaxed CuSi2B2 crystal, computed with PBE-GGA.

The calculation puts the polymorph energy (0 for the lowest one) at 0 meV per atom. As for the total energy: -48.7 eV per cell. The calculation puts the raw formation energy at 790 meV/atom.

The structure belongs to space group I4/mmm (No. 139); the cell edges are 3.566, 3.566 and 9.226 Å and the angles 90.00°, 90.00° and 90.00°. Symmetry generates all atoms from Cu at (0.000, 0.000, 0.000), Si at (0.000, 0.000, 0.374) and B at (0.000, 0.500, 0.250).

No. 3
A relaxed CuSi2B2 crystal, computed with PBE-GGA.

The calculation puts the polymorph energy (0 for the lowest one) at 118 meV per atom. As for the total energy: -47.5 eV per cell. The calculation puts the raw formation energy at 908 meV/atom.

The structure belongs to space group P4/mbm (No. 127); the cell edges are 6.392, 6.392 and 2.628 Å and the angles 90.00°, 90.00° and 90.00°. Symmetry generates all atoms from Cu at (0.000, 0.000, 0.000), Si at (0.139, 0.361, 0.000) and B at (0.162, 0.662, 0.500).

No. 4
A relaxed CuSiB3 crystal, computed with PBE-GGA.

The calculation puts the polymorph energy (0 for the lowest one) at 56 meV per atom. As for the total energy: -21.0 eV per cell. The calculation puts the raw formation energy at 1716 meV/atom.

The structure belongs to space group Pm-3m (No. 221); the cell edges are 3.889, 3.889 and 3.889 Å and the angles 90.00°, 90.00° and 90.00°. Symmetry generates all atoms from Cu at (0.000, 0.000, 0.000), Si at (0.500, 0.500, 0.500) and B at (0.000, 0.000, 0.500).

No. 5
A relaxed CuSiB3 crystal, computed with PBE-GGA.

The calculation puts the polymorph energy (0 for the lowest one) at 0 meV per atom. As for the total energy: -21.3 eV per cell. The calculation puts the raw formation energy at 1660 meV/atom.

The structure belongs to space group Pm-3m (No. 221); the cell edges are 3.962, 3.962 and 3.962 Å and the angles 90.00°, 90.00° and 90.00°. Symmetry generates all atoms from Cu at (0.000, 0.000, 0.000), Si at (0.500, 0.500, 0.500) and B at (0.000, 0.500, 0.500).

No. 6
A relaxed Cu2SiB crystal, computed with PBE-GGA.

As for the total energy: -69.9 eV per cell. The calculation puts the raw formation energy at 706 meV/atom.

The structure belongs to space group Fm-3m (No. 225); the cell edges are 5.662, 5.662 and 5.662 Å and the angles 90.00°, 90.00° and 90.00°. Symmetry generates all atoms from Cu at (0.250, 0.250, 0.250), Si at (0.000, 0.000, 0.000) and B at (0.000, 0.000, 0.500).

> Number 6 is which compound?

Cu2SiB

> Among the records above, which one has the lowest raw formation energy?

Cu2SiB

> What is the formula in the fifth record?

CuSiB3

> Among the records above, which one has the highest raw formation energy?

number 4